(1)
{
  "formula": "V2Ir4Rh",
  "functional": "GGA-PBE",
  "state": "optimized geometry",
  "lattice_angstrom": [[5.0874, 0.0000, 0.0000], [0.0000, 8.7420, 0.0000], [0.0000, 0.0000, 4.6413]],
  "species": ["V", "V", "V", "V", "Ir", "Ir", "Ir", "Ir", "Ir", "Ir", "Ir", "Ir", "Rh", "Rh"],
  "fractional_positions": [[0.0000, 0.0000, 0.2401], [0.0000, 0.0000, 0.7599], [0.5000, 0.5000, 0.2401], [0.5000, 0.5000, 0.7599], [0.0522, 0.3206, 0.0000], [0.1905, 0.7692, 0.5000], [0.3095, 0.2692, 0.5000], [0.4478, 0.8206, 0.0000], [0.5522, 0.1794, 0.0000], [0.6905, 0.7308, 0.5000], [0.8095, 0.2308, 0.5000], [0.9478, 0.6794, 0.0000], [0.0000, 0.5000, 0.5000], [0.5000, 0.0000, 0.5000]],
  "polymorph_energy_mev_per_atom": 0.0,
  "sg": "Pbam, No. 55",
  "total_magnetization_mub_per_cell": 0.000,
  "formation_energy_ev_per_atom": -0.0523
}

---

(2)
{
  "formula": "Tb2NdY2Mg2",
  "functional": "GGA-PBE",
  "state": "optimized geometry",
  "lattice_angstrom": [[2.7539, 1.5900, 8.0586], [-2.7539, 1.5900, 8.0586], [0.0000, -3.1800, 8.0586]],
  "species": ["Tb", "Tb", "Nd", "Y", "Y", "Mg", "Mg"],
  "fractional_positions": [[0.0723, 0.0723, 0.0723], [0.9277, 0.9277, 0.9277], [0.5000, 0.5000, 0.5000], [0.3442, 0.3442, 0.3442], [0.6558, 0.6558, 0.6558], [0.2110, 0.2110, 0.2110], [0.7890, 0.7890, 0.7890]],
  "sg": "R-3m, No. 166",
  "total_magnetization_mub_per_cell": 0.000,
  "formation_energy_ev_per_atom": -0.0294
}